No. 1
First-principles (PBE) data for a relaxed CaAc5Te8 crystal, as listed in Alexandria.

Values from the calculation:
calculated total energy: -139.935 eV per cell
volume: 35.15 Å³/atom
formation energy from raw total energies: -1.59 eV/atom

Lattice parameters (Å, degrees): 9.912 9.912 10.018 90.00 90.00 90.00
Space group I-4 (No. 82)
Asymmetric unit:
Ca 0.000 0.000 0.000
Ac 0.000 0.500 0.750
Ac 0.124 0.750 0.371
Te 0.072 0.681 0.044
Te 0.078 0.825 0.697


No. 2
First-principles (PBE) data for a relaxed Ca6AcTe8 crystal, as listed in Alexandria.

Values from the calculation:
calculated total energy: -255.451 eV per cell
volume: 35.17 Å³/atom
formation energy from raw total energies: -1.51 eV/atom

Lattice parameters (Å, degrees): 12.826 12.826 12.826 90.00 90.00 90.00
Space group Fm-3m (No. 225)
Asymmetric unit:
Ca 0.000 0.250 0.250
Ac 0.000 0.000 0.000
Te 0.000 0.000 0.257
Te 0.250 0.250 0.250